Record 1
Entry from Alexandria via LeMat-Bulk: a relaxed structure of LiReAs (PBE).

It has space group F-43m (No. 216), with a = 5.756 Å, b = 5.756 Å, c = 5.756 Å, α = 90.00°, β = 90.00° and γ = 90.00°. The inequivalent atoms are Li at (0.000, 0.000, 0.000), Re at (0.000, 0.000, 0.500) and As at (0.250, 0.250, 0.750).

The excess energy over the best structure of this formula in the dataset is 0.369 eV per atom. The value obtained for the total moment is 0.0 μB per formula unit.

Record 2
Entry from Alexandria via LeMat-Bulk: a relaxed structure of LiRe2As (PBE).

It has space group Pmmm (No. 47), with a = 2.716 Å, b = 4.292 Å, c = 5.160 Å, α = 90.00°, β = 90.00° and γ = 90.00°. The inequivalent atoms are Li at (0.000, 0.000, 0.000), Re at (0.500, 0.500, 0.234) and As at (0.000, 0.000, 0.500).

The value obtained for the total moment is 0.0 μB per formula unit.

Record 3
Entry from Alexandria via LeMat-Bulk: a relaxed structure of LiRe2As (PBE).

It has space group Pm (No. 6), with a = 2.868 Å, b = 3.927 Å, c = 5.450 Å, α = 90.00°, β = 103.90° and γ = 90.00°. The inequivalent atoms are Li at (0.000, 0.000, 0.000), Re at (0.280, 0.000, 0.514), Re at (0.652, 0.500, 0.304) and As at (0.422, 0.500, 0.835).

The value obtained for the total moment is 0.0 μB per formula unit.

Record 4
Entry from Alexandria via LeMat-Bulk: a relaxed structure of Li2ReAs (PBE).

It has space group P4/mmm (No. 123), with a = 4.629 Å, b = 4.629 Å, c = 2.598 Å, α = 90.00°, β = 90.00° and γ = 90.00°. The inequivalent atoms are Li at (0.000, 0.500, 0.000), Re at (0.000, 0.000, 0.500) and As at (0.500, 0.500, 0.500).

The value obtained for the total moment is 0.0 μB per formula unit.

Record 5
Entry from Alexandria via LeMat-Bulk: a relaxed structure of Li2ReAs (PBE).

It has space group C2/m (No. 12), with a = 4.918 Å, b = 9.078 Å, c = 2.701 Å, α = 90.00°, β = 103.05° and γ = 90.00°. The inequivalent atoms are Li at (0.250, 0.250, 0.000), Re at (0.000, 0.000, 0.500) and As at (0.000, 0.500, 0.500).

The value obtained for the total moment is 0.0 μB per formula unit.

Record 6
Entry from Alexandria via LeMat-Bulk: a relaxed structure of Li2ReAs (PBE).

It has space group P2/m (No. 10), with a = 2.746 Å, b = 4.494 Å, c = 4.902 Å, α = 90.00°, β = 104.41° and γ = 90.00°. The inequivalent atoms are Li at (0.086, 0.000, 0.240), Re at (0.500, 0.500, 0.000) and As at (0.500, 0.500, 0.500).

The value obtained for the total moment is 0.0 μB per formula unit.

Record 7
Entry from Alexandria via LeMat-Bulk: a relaxed structure of Li2ReAs (PBE).

It has space group I-42d (No. 122), with a = 7.129 Å, b = 7.129 Å, c = 4.783 Å, α = 90.00°, β = 90.00° and γ = 90.00°. The inequivalent atoms are Li at (0.230, 0.250, 0.125), Re at (0.000, 0.000, 0.500) and As at (0.000, 0.000, 0.000).

The value obtained for the total moment is 0.0 μB per formula unit.

Record 8
Entry from Alexandria via LeMat-Bulk: a relaxed structure of Li2ReAs (PBE).

It has space group Cmmm (No. 65), with a = 3.419 Å, b = 3.986 Å, c = 8.680 Å, α = 90.00°, β = 90.00° and γ = 90.00°. The inequivalent atoms are Li at (0.000, 0.000, 0.243), Re at (0.000, 0.500, 0.500) and As at (0.000, 0.500, 0.000).

The value obtained for the total moment is 0.0 μB per formula unit.

Record 9
Entry from Alexandria via LeMat-Bulk: a relaxed structure of LiRe2As (PBE).

It has space group Pmmm (No. 47), with a = 3.139 Å, b = 4.234 Å, c = 4.433 Å, α = 90.00°, β = 90.00° and γ = 90.00°. The inequivalent atoms are Li at (0.000, 0.000, 0.000), Re at (0.000, 0.500, 0.500), Re at (0.500, 0.000, 0.500) and As at (0.500, 0.500, 0.000).

The value obtained for the total moment is 0.0 μB per formula unit.

Record 10
Entry from Alexandria via LeMat-Bulk: a relaxed structure of Li2ReAs (PBE).

It has space group I-4m2 (No. 119), with a = 3.641 Å, b = 3.641 Å, c = 7.744 Å, α = 90.00°, β = 90.00° and γ = 90.00°. The inequivalent atoms are Li at (0.000, 0.000, 0.000), Li at (0.000, 0.500, 0.250), Re at (0.000, 0.500, 0.750) and As at (0.000, 0.000, 0.500).

The value obtained for the total moment is 0.0 μB per formula unit.

Record 11
Entry from Alexandria via LeMat-Bulk: a relaxed structure of Li2ReAs (PBE).

It has space group Cm (No. 8), with a = 8.905 Å, b = 2.629 Å, c = 5.068 Å, α = 90.00°, β = 94.71° and γ = 90.00°. The inequivalent atoms are Li at (0.000, 0.000, 0.000), Li at (0.240, 0.000, 0.781), Re at (0.493, 0.000, 0.495) and As at (0.245, 0.500, 0.299).

The value obtained for the total moment is 0.0 μB per formula unit.

Record 12
Entry from Alexandria via LeMat-Bulk: a relaxed structure of LiRe2As (PBE).

It has space group Immm (No. 71), with a = 2.874 Å, b = 4.225 Å, c = 10.138 Å, α = 90.00°, β = 90.00° and γ = 90.00°. The inequivalent atoms are Li at (0.000, 0.000, 0.000), Re at (0.000, 0.500, 0.204) and As at (0.000, 0.000, 0.500).

The value obtained for the total moment is 0.0 μB per formula unit.

Record 13
Entry from Alexandria via LeMat-Bulk: a relaxed structure of LiRe3As (PBE).

It has space group Pm-3m (No. 221), with a = 4.568 Å, b = 4.568 Å, c = 4.568 Å, α = 90.00°, β = 90.00° and γ = 90.00°. The inequivalent atoms are Li at (0.000, 0.000, 0.000), Re at (0.000, 0.500, 0.500) and As at (0.500, 0.500, 0.500).

The excess energy over the best structure of this formula in the dataset is 0.000 eV per atom. The value obtained for the total moment is 0.0 μB per formula unit.

Record 14
Entry from Alexandria via LeMat-Bulk: a relaxed structure of LiRe3As (PBE).

It has space group Pm-3m (No. 221), with a = 4.193 Å, b = 4.193 Å, c = 4.193 Å, α = 90.00°, β = 90.00° and γ = 90.00°. The inequivalent atoms are Li at (0.000, 0.000, 0.000), Re at (0.000, 0.000, 0.500) and As at (0.500, 0.500, 0.500).

The excess energy over the best structure of this formula in the dataset is 0.050 eV per atom. The value obtained for the total moment is 0.0 μB per formula unit.

Record 15
Entry from Alexandria via LeMat-Bulk: a relaxed structure of Li2ReAs (PBE).

It has space group P4/mmm (No. 123), with a = 3.654 Å, b = 3.654 Å, c = 4.207 Å, α = 90.00°, β = 90.00° and γ = 90.00°. The inequivalent atoms are Li at (0.000, 0.500, 0.000), Re at (0.000, 0.000, 0.500) and As at (0.500, 0.500, 0.500).

The value obtained for the total moment is 0.6 μB per formula unit.

no.,E (eV/atom),formation energy from the elements (eV per atom),calculated density (Mg/m³)
1,-6.158,0.18,9.34
2,-7.260,0.60,12.54
3,-7.732,0.13,12.66
4,-4.862,0.37,8.21
5,-5.164,0.07,7.78
6,-5.150,0.08,7.80
7,-4.827,0.40,7.52
8,-5.207,0.02,7.72
9,-7.468,0.40,12.80
10,-5.229,0.00,8.90
11,-5.147,0.08,7.72
12,-7.650,0.22,12.26
13,-7.157,1.62,11.16
14,-7.107,1.67,14.43
15,-5.071,0.16,8.13